# 1
La2Y12Er5, relaxed, DFT PBE; magnetization = 0.00 μB/cell; space group = C2/m; volume = 629 Å³ per cell
1.0
7.878 -4.664 0.000
7.878 4.664 0.000
-0.156 0.000 8.565
La Y Er
2 12 5
direct
0.185 0.815 0.000
0.815 0.185 0.000
0.058 0.058 0.326
0.065 0.682 0.352
0.163 0.523 0.757
0.318 0.935 0.648
0.407 0.407 0.120
0.477 0.837 0.243
0.523 0.163 0.757
0.593 0.593 0.880
0.682 0.065 0.352
0.837 0.477 0.243
0.935 0.318 0.648
0.942 0.942 0.674
0.197 0.197 0.009
0.268 0.268 0.423
0.500 0.500 0.500
0.732 0.732 0.577
0.803 0.803 0.991

=====

# 2
LaY3Er5, relaxed, DFT PBE; magnetization = 0.00 μB/cell; space group = C2/c; volume = 595 Å³ per cell
1.0
9.593 -3.012 0.000
9.593 3.012 0.000
-4.386 0.000 10.289
La Y Er
2 6 10
direct
0.137 0.863 0.750
0.863 0.137 0.250
0.000 0.000 0.000
0.000 0.000 0.500
0.051 0.595 0.638
0.405 0.949 0.862
0.595 0.051 0.138
0.949 0.405 0.362
0.089 0.571 0.971
0.095 0.577 0.305
0.375 0.625 0.250
0.423 0.905 0.195
0.429 0.911 0.529
0.571 0.089 0.471
0.577 0.095 0.805
0.625 0.375 0.750
0.905 0.423 0.695
0.911 0.429 0.029

=====

# 3
La2Y3Er2, relaxed, DFT PBE; magnetization = 0.00 μB/cell; space group = Immm; volume = 232 Å³ per cell
1.0
-1.770 2.787 11.769
1.770 -2.787 11.769
1.770 2.787 -11.769
La Y Er
2 3 2
direct
0.070 0.070 0.000
0.930 0.930 0.000
0.210 0.710 0.500
0.500 0.500 0.000
0.790 0.290 0.500
0.355 0.855 0.500
0.645 0.145 0.500

=====

| no. | raw total energy (eV per atom) | ΔH_f (0 K) (meV/atom) |
| --- | --- | --- |
| 1 | -5.664 | 138 |
| 2 | -4.899 | 338 |
| 3 | -5.410 | 72 |